[1]
An optimized crystal structure of LiY2Sc. Source: Alexandria via LeMat-Bulk, functional PBE-GGA. Values from VASP.

Cell and atoms, written as Quantum ESPRESSO input:
```
&SYSTEM
  ibrav = 0, nat = 4, ntyp = 3
/
ATOMIC_SPECIES
Li 6.94 Li.upf
Sc 44.96 Sc.upf
Y 88.91 Y.upf
CELL_PARAMETERS angstrom
6.295 0.003 0.010
5.183 3.573 0.010
2.279 0.710 4.808
ATOMIC_POSITIONS crystal
Li 0.750 0.750 0.750
Sc 0.250 0.250 0.250
Y 0.475 0.475 0.525
Y 0.025 0.025 0.975
```

The calculation puts the energy above the most stable polymorph in this dataset at 0.056 eV/atom. As for the space-group type: Immm (71).


[2]
An optimized crystal structure of SiSb2As. Source: Alexandria via LeMat-Bulk, functional PBE-GGA. Values from VASP.

Cell and atoms, written as Quantum ESPRESSO input:
```
&SYSTEM
  ibrav = 0, nat = 4, ntyp = 3
/
ATOMIC_SPECIES
As 74.92 As.upf
Si 28.09 Si.upf
Sb 121.76 Sb.upf
CELL_PARAMETERS angstrom
-1.499 4.874 -3.256
-3.260 -4.827 -0.529
-2.526 0.835 1.563
ATOMIC_POSITIONS crystal
As 0.500 0.500 0.000
Si 0.000 0.500 0.500
Sb 0.500 0.000 0.500
Sb 0.000 0.000 0.000
```

The calculation puts the energy above the most stable polymorph in this dataset at 0.320 eV/atom. As for the space-group type: C2/m (12). The uncorrected formation energy is 0.4824 eV/atom.


[3]
An optimized crystal structure of TaWSe2. Source: Alexandria via LeMat-Bulk, functional PBE-GGA. Values from VASP.

Cell and atoms, written as Quantum ESPRESSO input:
```
&SYSTEM
  ibrav = 0, nat = 4, ntyp = 3
/
ATOMIC_SPECIES
W 183.84 W.upf
Ta 180.95 Ta.upf
Se 78.96 Se.upf
CELL_PARAMETERS angstrom
5.265 -0.001 0.001
1.540 5.035 -0.001
-2.464 -3.786 2.706
ATOMIC_POSITIONS crystal
W 0.250 0.750 0.500
Ta 0.750 0.250 0.500
Se 0.490 0.490 0.000
Se 0.010 0.010 0.000
```

The calculation puts the energy above the most stable polymorph in this dataset at 0.856 eV/atom. As for the space-group type: Immm (71). The uncorrected formation energy is 0.5283 eV/atom.


[4]
An optimized crystal structure of Sr12Ge5Au3. Source: Alexandria via LeMat-Bulk, functional PBE-GGA. Values from VASP.

Cell and atoms, written as Quantum ESPRESSO input:
```
&SYSTEM
  ibrav = 0, nat = 80, ntyp = 3
/
ATOMIC_SPECIES
Sr 87.62 Sr.upf
Ge 72.64 Ge.upf
Au 196.97 Au.upf
CELL_PARAMETERS angstrom
16.272 0.000 0.000
-5.424 15.341 0.000
-5.424 -7.671 13.286
ATOMIC_POSITIONS crystal
Sr 0.785 0.459 0.378
Sr 0.918 0.826 0.541
Sr 0.326 0.541 0.418
Sr 0.041 0.622 0.715
Ge 0.500 0.000 0.000
Sr 0.622 0.582 0.907
Sr 0.215 0.674 0.093
Au 0.625 0.250 0.375
Sr 0.959 0.378 0.285
Sr 0.459 0.785 0.878
Ge 0.625 0.750 0.875
Ge 0.000 0.500 0.000
Au 0.125 0.250 0.875
Ge 0.500 0.500 0.000
Sr 0.093 0.174 0.215
Sr 0.622 0.041 0.215
Au 0.875 0.125 0.250
Sr 0.541 0.326 0.918
Ge 0.500 0.000 0.500
Sr 0.785 0.326 0.907
Sr 0.715 0.593 0.174
Sr 0.593 0.878 0.418
Sr 0.826 0.907 0.285
Sr 0.593 0.715 0.674
Sr 0.582 0.959 0.674
Ge 0.500 0.500 0.500
Sr 0.378 0.959 0.785
Sr 0.122 0.715 0.541
Ge 0.750 0.625 0.375
Ge 0.375 0.250 0.125
Au 0.750 0.375 0.125
Sr 0.907 0.826 0.785
Sr 0.674 0.215 0.593
Sr 0.959 0.582 0.174
Ge 0.375 0.125 0.750
Sr 0.082 0.174 0.459
Au 0.625 0.375 0.750
Sr 0.326 0.785 0.407
Au 0.125 0.875 0.750
Ge 0.875 0.250 0.625
Au 0.375 0.625 0.250
Sr 0.459 0.674 0.082
Ge 0.125 0.750 0.375
Sr 0.407 0.122 0.582
Ge 0.250 0.875 0.125
Sr 0.174 0.093 0.715
Ge 0.125 0.375 0.250
Sr 0.582 0.622 0.407
Sr 0.418 0.041 0.326
Sr 0.122 0.407 0.082
Au 0.375 0.750 0.625
Sr 0.674 0.459 0.582
Sr 0.826 0.918 0.041
Ge 0.000 0.000 0.000
Sr 0.715 0.122 0.041
Sr 0.878 0.285 0.459
Sr 0.174 0.082 0.959
Au 0.750 0.875 0.625
Sr 0.407 0.285 0.326
Sr 0.907 0.082 0.622
Sr 0.285 0.407 0.826
Ge 0.625 0.875 0.250
Ge 0.000 0.000 0.500
Sr 0.378 0.418 0.093
Au 0.875 0.750 0.125
Sr 0.082 0.907 0.122
Ge 0.000 0.500 0.500
Ge 0.250 0.375 0.625
Sr 0.285 0.878 0.959
Sr 0.918 0.093 0.878
Sr 0.093 0.918 0.378
Ge 0.750 0.125 0.875
Au 0.250 0.625 0.875
Sr 0.418 0.378 0.593
Sr 0.041 0.418 0.826
Sr 0.878 0.593 0.918
Sr 0.541 0.215 0.122
Ge 0.875 0.625 0.750
Sr 0.215 0.541 0.622
Au 0.250 0.125 0.375
```

The uncorrected energy comes out at -2.897 eV/atom. As for the space-group type: Ia-3d (230).


[5]
An optimized crystal structure of LiCaRu2. Source: Alexandria via LeMat-Bulk, functional PBE-GGA. Values from VASP.

Cell and atoms, written as Quantum ESPRESSO input:
```
&SYSTEM
  ibrav = 0, nat = 4, ntyp = 3
/
ATOMIC_SPECIES
Ru 101.07 Ru.upf
Ca 40.08 Ca.upf
Li 6.94 Li.upf
CELL_PARAMETERS angstrom
0.094 2.695 3.658
-3.736 0.521 2.535
-0.192 -1.812 4.163
ATOMIC_POSITIONS crystal
Ru 0.750 0.750 0.750
Ca 0.500 0.500 0.500
Li 0.000 0.000 0.000
Ru 0.250 0.250 0.250
```

The calculation puts the energy above the most stable polymorph in this dataset at 0.479 eV/atom. As for the space-group type: Fm-3m (225).


[6]
An optimized crystal structure of NaY2PaP4. Source: Alexandria via LeMat-Bulk, functional PBE-GGA. Values from VASP.

Cell and atoms, written as Quantum ESPRESSO input:
```
&SYSTEM
  ibrav = 0, nat = 8, ntyp = 4
/
ATOMIC_SPECIES
Pa 231.04 Pa.upf
P 30.97 P.upf
Na 22.99 Na.upf
Y 88.91 Y.upf
CELL_PARAMETERS angstrom
4.062 0.000 0.000
0.000 6.890 0.179
0.000 -2.368 6.541
ATOMIC_POSITIONS crystal
Pa 0.000 0.000 0.000
P 0.500 0.242 0.246
P 0.000 0.230 0.748
P 0.000 0.770 0.252
Na 0.500 0.500 0.000
P 0.500 0.758 0.754
Y 0.000 0.500 0.500
Y 0.500 0.000 0.500
```

The uncorrected energy comes out at -6.833 eV/atom. As for the space-group type: P2/m (10).


[7]
An optimized crystal structure of BaCaZn2Cl8. Source: Alexandria via LeMat-Bulk, functional PBE-GGA. Values from VASP.

Cell and atoms, written as Quantum ESPRESSO input:
```
&SYSTEM
  ibrav = 0, nat = 12, ntyp = 4
/
ATOMIC_SPECIES
Zn 65.41 Zn.upf
Cl 35.45 Cl.upf
Ba 137.33 Ba.upf
Ca 40.08 Ca.upf
CELL_PARAMETERS angstrom
-1.856 6.194 -0.372
-0.416 -3.173 5.631
8.685 2.733 2.182
ATOMIC_POSITIONS crystal
Zn 0.333 0.667 0.759
Cl 0.316 0.313 0.304
Cl 0.667 0.333 0.998
Ba 0.000 0.000 0.000
Cl 0.687 0.004 0.304
Ca 0.000 0.000 0.500
Cl 0.004 0.316 0.696
Cl 0.333 0.667 0.002
Cl 0.313 0.996 0.696
Zn 0.667 0.333 0.241
Cl 0.996 0.684 0.304
Cl 0.684 0.687 0.696
```

As for the space-group type: P-3 (147). The uncorrected formation energy is -1.7561 eV/atom.


[8]
An optimized crystal structure of PrNdHg6. Source: Alexandria via LeMat-Bulk, functional PBE-GGA. Values from VASP.

Cell and atoms, written as Quantum ESPRESSO input:
```
&SYSTEM
  ibrav = 0, nat = 8, ntyp = 3
/
ATOMIC_SPECIES
Hg 200.59 Hg.upf
Nd 144.24 Nd.upf
Pr 140.91 Pr.upf
CELL_PARAMETERS angstrom
-5.031 0.213 0.636
0.813 -0.876 6.727
-0.067 6.299 -2.645
ATOMIC_POSITIONS crystal
Hg 0.500 0.914 0.577
Nd 0.000 0.083 0.917
Hg 0.500 0.423 0.086
Hg 0.500 0.914 0.086
Pr 0.500 0.417 0.583
Hg 0.000 0.588 0.926
Hg 0.000 0.074 0.412
Hg 0.000 0.587 0.413
```

The uncorrected energy comes out at -1.815 eV/atom. As for the space-group type: P-6m2 (187).


[9]
An optimized crystal structure of RbLi3Nb4O12. Source: Alexandria via LeMat-Bulk, functional PBE-GGA. Values from VASP.

Cell and atoms, written as Quantum ESPRESSO input:
```
&SYSTEM
  ibrav = 0, nat = 20, ntyp = 4
/
ATOMIC_SPECIES
O 16.00 O.upf
Rb 85.47 Rb.upf
Nb 92.91 Nb.upf
Li 6.94 Li.upf
CELL_PARAMETERS angstrom
-4.551 -4.251 2.545
6.150 -2.649 0.646
-0.285 5.843 3.322
ATOMIC_POSITIONS crystal
O 0.300 0.196 0.497
O 0.503 0.700 0.804
O 0.896 0.700 0.196
Rb 0.000 0.000 0.000
Nb 0.000 0.500 0.000
O 0.497 0.300 0.196
O 0.104 0.300 0.804
O 0.804 0.104 0.300
Nb 0.000 0.000 0.500
O 0.196 0.896 0.700
Nb 0.500 0.000 0.000
Nb 0.500 0.500 0.500
Li 0.500 0.000 0.500
O 0.300 0.804 0.104
O 0.700 0.196 0.896
O 0.804 0.503 0.700
Li 0.000 0.500 0.500
O 0.700 0.804 0.503
Li 0.500 0.500 0.000
O 0.196 0.497 0.300
```

As for the space-group type: Im-3 (204). The uncorrected formation energy is -2.3918 eV/atom.


[10]
An optimized crystal structure of CaFe2Cl2. Source: Alexandria via LeMat-Bulk, functional PBE-GGA. Values from VASP.

Cell and atoms, written as Quantum ESPRESSO input:
```
&SYSTEM
  ibrav = 0, nat = 5, ntyp = 3
/
ATOMIC_SPECIES
Fe 55.84 Fe.upf
Cl 35.45 Cl.upf
Ca 40.08 Ca.upf
CELL_PARAMETERS angstrom
-1.937 2.488 4.984
-5.868 0.292 0.504
3.883 -4.234 -1.332
ATOMIC_POSITIONS crystal
Fe 0.609 0.609 0.000
Fe 0.391 0.391 0.000
Cl 0.750 0.250 0.500
Ca 0.000 0.000 0.000
Cl 0.250 0.750 0.500
```

As for the space-group type: I4/mmm (139). The uncorrected formation energy is -0.2716 eV/atom.


[11]
An optimized crystal structure of CdH10S2N4O8. Source: Alexandria via LeMat-Bulk, functional PBE-GGA. Values from VASP.

Cell and atoms, written as Quantum ESPRESSO input:
```
&SYSTEM
  ibrav = 0, nat = 25, ntyp = 5
/
ATOMIC_SPECIES
N 14.01 N.upf
H 1.01 H.upf
O 16.00 O.upf
S 32.06 S.upf
Cd 112.41 Cd.upf
CELL_PARAMETERS angstrom
-2.953 0.316 4.766
-0.520 -5.822 -1.035
7.093 -0.904 2.376
ATOMIC_POSITIONS crystal
N 0.719 0.315 0.705
H 0.303 0.605 0.420
H 0.081 0.314 0.718
N 0.929 0.195 0.730
H 0.697 0.395 0.580
O 0.622 0.750 0.882
H 0.560 0.193 0.701
H 0.919 0.686 0.282
H 0.440 0.807 0.299
O 0.704 0.463 0.359
S 0.638 0.257 0.227
O 0.378 0.250 0.118
O 0.185 0.716 0.895
H 0.256 0.566 0.187
N 0.071 0.805 0.270
N 0.281 0.685 0.295
O 0.815 0.284 0.105
O 0.296 0.537 0.641
Cd 0.000 0.000 0.000
O 0.662 0.047 0.331
H 0.744 0.434 0.813
O 0.338 0.953 0.669
S 0.362 0.743 0.773
H 0.888 0.084 0.616
H 0.112 0.916 0.384
```

The uncorrected energy comes out at -5.437 eV/atom. As for the space-group type: P-1 (2).


[12]
An optimized crystal structure of CuCS. Source: Alexandria via LeMat-Bulk, functional PBE-GGA. Values from VASP.

Cell and atoms, written as Quantum ESPRESSO input:
```
&SYSTEM
  ibrav = 0, nat = 12, ntyp = 3
/
ATOMIC_SPECIES
S 32.06 S.upf
C 12.01 C.upf
Cu 63.55 Cu.upf
CELL_PARAMETERS angstrom
8.003 0.000 0.000
0.000 8.003 0.000
0.000 0.000 3.231
ATOMIC_POSITIONS crystal
S 0.220 0.574 0.000
S 0.426 0.220 0.500
C 0.749 0.875 0.500
C 0.125 0.749 0.000
C 0.251 0.125 0.500
C 0.875 0.251 0.000
Cu 0.992 0.818 0.500
S 0.780 0.426 0.000
S 0.574 0.780 0.500
Cu 0.008 0.182 0.500
Cu 0.182 0.992 0.000
Cu 0.818 0.008 0.000
```

The calculation puts the energy above the most stable polymorph in this dataset at 0.000 eV/atom. As for the space-group type: P4_2/m (84). The uncorrected formation energy is 0.6878 eV/atom.